Record 1
Ba2Zn3As2O2: optimized geometry, GGA-PBEsol.

ΔE_f (raw), eV/atom: -1.2763
SG: I4/mmm

Cell: 4.1568 4.1568 10.2560 Å, 101.69 101.69 90.00°
Closest atoms and distances in Å follow each position.
Fractional positions:
Ba 0.5898 0.5898 0.1795  4 O 2.73
As 0.1741 0.1741 0.3482  4 Zn 2.56
Zn 0.7500 0.2500 0.5000  4 As 2.56
As 0.8259 0.8259 0.6518  4 Zn 2.56
O 0.5000 0.0000 0.0000  2 Zn 2.08
O 0.0000 0.5000 0.0000  2 Zn 2.08
Zn 0.2500 0.7500 0.5000  4 As 2.56
Ba 0.4102 0.4102 0.8205  4 O 2.73
Zn 0.0000 0.0000 0.0000  4 O 2.08

=====

Record 2
NiRuS3: optimized geometry, GGA-PBEsol.

ΔE_f (raw), eV/atom: 0.8362
SG: Pm-3m

Cell: 4.5105 4.5105 4.5105 Å, 90.00 90.00 90.00°
Closest atoms and distances in Å follow each position.
Fractional positions:
Ru 0.0000 0.0000 0.0000  6 S 2.26
S 0.0000 0.5000 0.0000  2 Ru 2.26
Ni 0.5000 0.5000 0.5000  12 S 3.19
S 0.0000 0.0000 0.5000  2 Ru 2.26
S 0.5000 0.0000 0.0000  2 Ru 2.26

=====

Record 3
Ta2HgIrC: optimized geometry, GGA-PBEsol.

E_form, eV per atom: 1.199
SG: P4/mmm

Cell: 3.7365 5.0105 5.0105 Å, 90.00 90.00 90.00°
Closest atoms and distances in Å follow each position.
Fractional positions:
Hg 0.5000 0.5000 0.5000  8 Ta 3.13
Ta 0.0000 0.5000 0.0000  2 Ir 2.51
C 0.5000 0.0000 0.0000  2 Ir 1.87
Ta 0.0000 0.0000 0.5000  2 Ir 2.51
Ir 0.0000 0.0000 0.0000  2 C 1.87

=====

Calculated size of the total moment in order - 0.000; 0.291; 0.000 μB/atom
Calculated electronic total energy in order - -41.2; -25.3; -39.1 eV/cell